VASP calculation (PBE) on an optimized crystal structure of YHf3Zn.

Properties
The calculation puts the calculated formation energy at 8.47 eV per formula unit. The value obtained for the energy above the most stable polymorph in this dataset is 1117 meV/atom. For the calculated total energy, the calculation gives -5.826 eV/atom.

```
data_YHf3Zn
_chemical_formula_sum 'Y1 Hf3 Zn1'
_cell_length_a 5.170
_cell_length_b 5.170
_cell_length_c 5.170
_cell_angle_alpha 90.00
_cell_angle_beta 90.00
_cell_angle_gamma 90.00
_space_group_name_H-M_alt 'P m -3 m'
_space_group_IT_number 221
_space_group_name_Hall '-P 4 2 3'
loop_
_atom_site_label
_atom_site_fract_x
_atom_site_fract_y
_atom_site_fract_z
_atom_site_occupancy
Y1 0.000 0.000 0.000 1
Hf1 0.000 0.000 0.500 1
Zn1 0.500 0.500 0.500 1
```